Entry 1:
A plane-wave DFT calculation with PBE was carried out for a geometry-optimized Sm2TlRh structure.

As for the excess energy over the best structure of this formula in the dataset: 0.118 eV per atom. Its crystal system is cubic.

It has space group Fm-3m (No. 225), with a = 7.381 Å, b = 7.381 Å, c = 7.381 Å, α = 90.00°, β = 90.00° and γ = 90.00°. The inequivalent atoms are Sm at (0.250, 0.250, 0.250), Tl at (0.000, 0.000, 0.000) and Rh at (0.000, 0.000, 0.500).


Entry 2:
A plane-wave DFT calculation with PBE was carried out for a geometry-optimized Sm4Tl3Rh structure.

As for the excess energy over the best structure of this formula in the dataset: 0.000 eV per atom. Its crystal system is tetragonal.

It has space group P4/mmm (No. 123), with a = 3.618 Å, b = 3.618 Å, c = 16.469 Å, α = 90.00°, β = 90.00° and γ = 90.00°. The inequivalent atoms are Sm at (0.000, 0.000, 0.101), Sm at (0.000, 0.000, 0.368), Tl at (0.500, 0.500, 0.239), Tl at (0.500, 0.500, 0.500) and Rh at (0.500, 0.500, 0.000).


Entry 3:
A plane-wave DFT calculation with PBE was carried out for a geometry-optimized Sm3TlRh2 structure.

Its crystal system is tetragonal.

It has space group P4/mmm (No. 123), with a = 3.465 Å, b = 3.465 Å, c = 12.098 Å, α = 90.00°, β = 90.00° and γ = 90.00°. The inequivalent atoms are Sm at (0.000, 0.000, 0.000), Sm at (0.000, 0.000, 0.291), Tl at (0.500, 0.500, 0.500) and Rh at (0.500, 0.500, 0.150).


Entry 4:
A plane-wave DFT calculation with PBE was carried out for a geometry-optimized SmTlRh structure.

Its crystal system is tetragonal.

It has space group I4mm (No. 107), with a = 3.549 Å, b = 3.549 Å, c = 10.844 Å, α = 90.00°, β = 90.00° and γ = 90.00°. The inequivalent atoms are Sm at (0.000, 0.000, 0.000), Tl at (0.000, 0.000, 0.707) and Rh at (0.000, 0.000, 0.352).


Number 1: energy of formation from the pure elements -0.425 eV per atom, total moment 0.00 μB per cell. Number 2: energy of formation from the pure elements -0.462 eV per atom, total moment 0.00 μB per cell. Number 3: energy of formation from the pure elements -0.592 eV per atom, total moment 0.00 μB per cell. Number 4: energy of formation from the pure elements -0.372 eV per atom, total moment 0.00 μB per cell.